## KBaVI2 (PBE)

Data for KBaVI2 after structural relaxation.

crystal system: tetragonal
SG: P4/mmm (123)
energy: -0.11510 Ha/atom
formation energy (no corrections): -0.08 eV/atom

Cell lengths 5.9388, 5.9388, 6.0409 Å; angles 90.00, 90.00, 90.00 degrees
Positions (direct):
K 0.0000 0.0000 0.0000
Ba 0.5000 0.5000 0.0000
V 0.5000 0.5000 0.5000
I 0.0000 0.5000 0.5000
I 0.5000 0.0000 0.5000